The following is a PBE calculation of an optimized crystal structure of La2TbPm4Pr2, from Alexandria via LeMat-Bulk.

The structure belongs to space group C2/m (No. 12); the cell edges are 19.241, 3.712 and 9.862 Å and the angles 90.00°, 115.64° and 90.00°. The asymmetric unit holds La at (0.165, 0.000, 0.000), Tb at (0.000, 0.500, 0.000), Pm at (0.019, 0.000, 0.330), Pm at (0.185, 0.500, 0.334) and Pr at (0.147, 0.500, 0.666).

The value obtained for the calculated volume is 35.28 Å³ per atom. Its density of states at the Fermi level is 12.78 states/eV/f.u. The value obtained for the calculated total energy is -4.773 eV/atom. The calculation puts the calculated density at 6.79 g/cm3.

---

The following is a PBE calculation of an optimized crystal structure of LaTb2Pm4Pr2, from Alexandria via LeMat-Bulk.

The structure belongs to space group C2/m (No. 12); the cell edges are 19.155, 3.691 and 9.798 Å and the angles 90.00°, 115.76° and 90.00°. The asymmetric unit holds La at (0.000, 0.000, 0.000), Tb at (0.148, 0.000, 0.665), Pm at (0.019, 0.500, 0.336), Pm at (0.186, 0.000, 0.335) and Pr at (0.167, 0.500, 0.999).

The value obtained for the calculated volume is 34.66 Å³ per atom. Its density of states at the Fermi level is 12.68 states/eV/f.u. The value obtained for the calculated total energy is -4.747 eV/atom. The calculation puts the calculated density at 7.02 g/cm3.

---

The following is a PBE calculation of an optimized crystal structure of La4PmPr3Te8, from Alexandria via LeMat-Bulk.

The structure belongs to space group R-3m (No. 166, hexagonal axes); the cell edges are 9.1191, 9.1191 and 22.1972 Å and the angles 90.00°, 90.00° and 120.00°. The asymmetric unit holds La at (0.0000, 0.0000, 0.0000), La at (0.0000, 0.5000, 0.0000), Pm at (0.0000, 0.0000, 0.5000), Pr at (0.0000, 0.5000, 0.5000), Te at (0.0000, 0.0000, 0.2493) and Te at (0.0024, 0.5012, 0.2487).

The value obtained for the calculated volume is 33.30 Å³ per atom. As for the energy relative to the elements, uncorrected: -34.9 kcal/mol of atoms. Its density of states at the Fermi level is 12.88 states/eV/f.u. The value obtained for the calculated total energy is -5.510 eV/atom. The calculation puts the calculated density at 6.68 g/cm3.

---

The following is a PBE calculation of an optimized crystal structure of LaPm3Pr4Te8, from Alexandria via LeMat-Bulk.

The structure belongs to space group R-3m (No. 166, hexagonal axes); the cell edges are 9.0251, 9.0251 and 22.1546 Å and the angles 90.00°, 90.00° and 120.00°. The asymmetric unit holds La at (0.0000, 0.0000, 0.0000), Pm at (0.0000, 0.5000, 0.0000), Pr at (0.0000, 0.0000, 0.5000), Pr at (0.0000, 0.5000, 0.5000), Te at (0.0000, 0.0000, 0.2517) and Te at (0.0032, 0.5016, 0.2510).

The value obtained for the calculated volume is 32.56 Å³ per atom. As for the energy relative to the elements, uncorrected: -33.3 kcal/mol of atoms. Its density of states at the Fermi level is 12.56 states/eV/f.u. The value obtained for the calculated total energy is -5.408 eV/atom. The calculation puts the calculated density at 6.88 g/cm3.

---

The following is a PBE calculation of an optimized crystal structure of LaPm3Pr2Te6, from Alexandria via LeMat-Bulk.

The structure belongs to space group C2/m (No. 12); the cell edges are 19.641, 4.491 and 9.057 Å and the angles 90.00°, 103.33° and 90.00°. The asymmetric unit holds La at (0.000, 0.000, 0.000), Pm at (0.000, 0.000, 0.500), Pm at (0.167, 0.500, 0.832), Pr at (0.168, 0.500, 0.335), Te at (0.001, 0.500, 0.746), Te at (0.165, 0.000, 0.586) and Te at (0.168, 0.000, 0.081).

The value obtained for the calculated volume is 32.39 Å³ per atom. As for the energy relative to the elements, uncorrected: -33.5 kcal/mol of atoms. Its density of states at the Fermi level is 6.65 states/eV/f.u. The value obtained for the calculated total energy is -5.418 eV/atom. The calculation puts the calculated density at 6.93 g/cm3.

---

The following is a PBE calculation of an optimized crystal structure of La3Pm4PrTe8, from Alexandria via LeMat-Bulk.

The structure belongs to space group R-3m (No. 166, hexagonal axes); the cell edges are 9.0541, 9.0541 and 22.0672 Å and the angles 90.00°, 90.00° and 120.00°. The asymmetric unit holds La at (0.0000, 0.5000, 0.0000), Pm at (0.0000, 0.0000, 0.5000), Pm at (0.0000, 0.5000, 0.5000), Pr at (0.0000, 0.0000, 0.0000), Te at (0.0000, 0.0000, 0.2475) and Te at (0.0009, 0.5004, 0.7522).

The value obtained for the calculated volume is 32.63 Å³ per atom. As for the energy relative to the elements, uncorrected: -34.2 kcal/mol of atoms. Its density of states at the Fermi level is 12.97 states/eV/f.u. The value obtained for the calculated total energy is -5.463 eV/atom. The calculation puts the calculated density at 6.87 g/cm3.

---

The following is a PBE calculation of an optimized crystal structure of LaPm2Pr3Te6, from Alexandria via LeMat-Bulk.

The structure belongs to space group C2/m (No. 12); the cell edges are 19.682, 4.505 and 9.075 Å and the angles 90.00°, 103.26° and 90.00°. The asymmetric unit holds La at (0.000, 0.000, 0.000), Pm at (0.168, 0.500, 0.334), Pr at (0.000, 0.000, 0.500), Pr at (0.165, 0.500, 0.831), Te at (0.002, 0.500, 0.253), Te at (0.168, 0.000, 0.087) and Te at (0.168, 0.000, 0.580).

The value obtained for the calculated volume is 32.63 Å³ per atom. As for the energy relative to the elements, uncorrected: -33.6 kcal/mol of atoms. Its density of states at the Fermi level is 6.67 states/eV/f.u. The value obtained for the calculated total energy is -5.425 eV/atom. The calculation puts the calculated density at 6.86 g/cm3.

---

The following is a PBE calculation of an optimized crystal structure of La3PmPr3Te8, from Alexandria via LeMat-Bulk.

The structure belongs to space group R-3m (No. 166, hexagonal axes); the cell edges are 9.0538, 9.0538 and 22.3419 Å and the angles 90.00°, 90.00° and 120.00°. The asymmetric unit holds La at (0.0000, 0.5000, 0.0000), Pm at (0.0000, 0.0000, 0.5000), Pr at (0.0000, 0.5000, 0.5000), Te at (0.0000, 0.0000, 0.2493) and Te at (0.0027, 0.5014, 0.7501).

The value obtained for the calculated volume is 35.25 Å³ per atom. As for the energy relative to the elements, uncorrected: -35.3 kcal/mol of atoms. Its density of states at the Fermi level is 8.20 states/eV/f.u. The value obtained for the calculated total energy is -5.465 eV/atom. The calculation puts the calculated density at 6.30 g/cm3.

---

The following is a PBE calculation of an optimized crystal structure of La2Pm4PrTh, from Alexandria via LeMat-Bulk.

The structure belongs to space group P2/m (No. 10); the cell edges are 6.378, 3.674 and 12.105 Å and the angles 90.00°, 100.08° and 90.00°. The asymmetric unit holds La at (0.000, 0.000, 0.000), La at (0.000, 0.500, 0.500), Pm at (0.255, 0.000, 0.748), Pm at (0.257, 0.500, 0.258), Pr at (0.500, 0.500, 0.000) and Th at (0.500, 0.000, 0.500).

The value obtained for the calculated volume is 34.91 Å³ per atom. Its density of states at the Fermi level is 12.75 states/eV/f.u. The value obtained for the calculated total energy is -5.106 eV/atom. The calculation puts the calculated density at 7.32 g/cm3.

---

The following is a PBE calculation of an optimized crystal structure of LaPm4Pr2Th, from Alexandria via LeMat-Bulk.

The structure belongs to space group P2/m (No. 10); the cell edges are 6.358, 3.673 and 12.143 Å and the angles 90.00°, 100.18° and 90.00°. The asymmetric unit holds La at (0.000, 0.000, 0.000), Pm at (0.242, 0.000, 0.743), Pm at (0.246, 0.500, 0.252), Pr at (0.500, 0.000, 0.500), Pr at (0.500, 0.500, 0.000) and Th at (0.000, 0.500, 0.500).

The value obtained for the calculated volume is 34.89 Å³ per atom. Its density of states at the Fermi level is 13.14 states/eV/f.u. The value obtained for the calculated total energy is -5.082 eV/atom. The calculation puts the calculated density at 7.33 g/cm3.